(1)
First-principles (GGA-PBE) data for an optimized crystal structure of Th5SnSb5, as listed in Alexandria via LeMat-Bulk.

Cell: 7.7805 7.7805 8.9997 Å, 106.64 106.64 48.35°
Last column: nearest neighbours and their distance in Å.
Element x y z (fractional)
Th (0.0000, 0.0000, 0.0000)  4 Sb 3.18-3.19, 2 Sn 3.19
Th (0.3339, 0.3339, 0.6632)  5 Sb 3.14-3.20, 1 Sn 3.20
Th (0.3346, 0.3346, 0.1722)  5 Sb 3.14-3.25, 1 Sn 3.19
Th (0.6654, 0.6654, 0.8278)  5 Sb 3.14-3.25, 1 Sn 3.19
Th (0.6661, 0.6661, 0.3368)  5 Sb 3.14-3.20, 1 Sn 3.20
Sn (0.5000, 0.5000, 0.0000)  6 Th 3.19-3.20
Sb (0.1629, 0.1629, 0.3372)  5 Th 3.17-3.23
Sb (0.1657, 0.1657, 0.8302)  5 Th 3.18-3.25
Sb (0.5000, 0.5000, 0.5000)  4 Th 3.14
Sb (0.8343, 0.8343, 0.1698)  5 Th 3.18-3.25
Sb (0.8371, 0.8371, 0.6628)  5 Th 3.17-3.23

Output
DOS(E_F) ... 4.5 states/eV/cell
Mass density ... 8.11 g/cm3
Energy ... -0.2317 Ha/atom
Energy relative to the elements, uncorrected ... -0.70 eV per atom

=====

(2)
First-principles (GGA-PBE) data for an optimized crystal structure of ZrBrCl2, as listed in Alexandria via LeMat-Bulk.

Cell: 6.9740 6.9740 6.9740 Å, 152.66 68.61 118.46°
Last column: nearest neighbours and their distance in Å.
Element x y z (fractional)
Zr (0.0000, 0.0000, 0.0000)  4 Cl 2.57, 2 Br 2.70
Br (0.7010, 0.2010, 0.5000)  2 Zr 2.70
Cl (0.2856, 0.6376, 0.6480)  2 Zr 2.57
Cl (0.9896, 0.6376, 0.3520)  2 Zr 2.57

Output
ΔE to the lowest computed polymorph ... 0.0 meV/atom
DOS(E_F) ... 0.8 states/eV/cell
Mass density ... 2.97 g/cm3
Energy ... -0.1848 Ha/atom
Energy relative to the elements, uncorrected ... -1.55 eV per atom

=====

Which of these has the lowest DOS(E_F)?
ZrBrCl2